(1)
4
Lattice="-1.810 1.810 4.610 1.810 -1.810 4.610 1.810 1.810 -4.610" Properties=species:S:1:pos:R:3 comment="GGA-PBEsol ZrTaMn2, optimized geometry" formation_enthalpy_0k_ev_per_fu=0.78 m_tot_mub_per_fu=2.0 pbc="T T T"
Zr 0.000 0.000 0.000
Ta 1.810 0.000 2.305
Mn 0.000 0.000 4.610
Mn 0.000 1.810 2.305


(2)
5
Lattice="3.711 0.000 0.000 0.000 3.711 0.000 0.000 0.000 5.217" Properties=species:S:1:pos:R:3 comment="GGA-PBEsol TiPOsO2, optimized geometry" formation_energy_uncorrected_mev_per_atom=-471 m_tot_mub_per_fu=1.2 pbc="T T T"
Ti 0.000 0.000 0.000
P 1.855 1.855 0.000
Os 1.855 1.855 2.609
O 0.000 1.855 2.609
O 1.855 0.000 2.609


(3)
5
Lattice="4.973 0.000 0.000 0.000 4.973 0.000 0.000 0.000 4.973" Properties=species:S:1:pos:R:3 comment="GGA-PBEsol ScBi3F, optimized geometry" formation_energy_uncorrected_mev_per_atom=-546 m_tot_mub_per_fu=0.0 pbc="T T T"
Sc 0.000 0.000 0.000
Bi 0.000 2.487 2.487
Bi 2.487 0.000 2.487
Bi 2.487 2.487 0.000
F 2.487 2.487 2.487


(4)
32
Lattice="7.785 0.000 0.000 0.000 5.218 0.000 -4.677 0.000 11.096" Properties=species:S:1:pos:R:3 comment="GGA-PBEsol LiFeSi4O10, optimized geometry" formation_energy_uncorrected_mev_per_atom=-2489 e_above_lowest_polymorph_mev_per_atom=0 m_tot_mub_per_fu=5.0 pbc="T T T"
Li -1.169 1.291 2.774
Li -3.508 3.927 8.322
Fe -3.508 1.317 8.322
Fe -1.169 3.901 2.774
Si -0.057 0.109 5.542
Si 1.590 2.505 1.635
Si -0.749 2.713 7.183
Si -2.396 5.109 11.090
Si 5.504 0.109 0.006
Si 3.857 2.505 3.913
Si 1.519 2.713 9.461
Si 3.166 5.109 5.554
O -2.969 0.076 9.585
O -2.226 2.560 7.834
O 0.113 2.658 2.286
O -0.630 5.143 4.037
O -0.504 1.592 6.034
O 1.834 3.626 0.486
O 1.669 1.016 0.992
O -0.669 4.202 6.540
O 3.893 0.000 0.000
O 1.554 0.000 5.548
O 0.385 2.538 8.322
O 2.723 2.680 2.774
O 3.778 1.016 4.557
O 1.439 4.202 10.105
O 1.274 1.592 10.610
O 3.613 3.626 5.062
O 3.738 0.076 7.059
O 2.996 2.560 8.811
O 5.334 2.658 3.262
O 6.077 5.143 1.511


Copy entry 2 word for word.
5
Lattice="3.711 0.000 0.000 0.000 3.711 0.000 0.000 0.000 5.217" Properties=species:S:1:pos:R:3 comment="GGA-PBEsol TiPOsO2, optimized geometry" formation_energy_uncorrected_mev_per_atom=-471 m_tot_mub_per_fu=1.2 pbc="T T T"
Ti 0.000 0.000 0.000
P 1.855 1.855 0.000
Os 1.855 1.855 2.609
O 0.000 1.855 2.609
O 1.855 0.000 2.609